# CaY2Zr

An optimized crystal structure of CaY2Zr (PBE-GGA, Alexandria).

```
CaY2Zr
1.0
-1.459 2.879 -1.311
-2.425 0.652 4.131
5.562 4.016 2.632
Y Ca Zr
2 1 1
Direct
0.000 0.000 0.022 Y
0.500 0.500 0.271 Y
0.500 0.500 0.735 Ca
0.000 0.000 0.473 Zr
```

Properties
The calculation puts the excess energy over the best structure of this formula in the dataset at 0.098 eV/atom. As for the density: 4.15 g cm⁻³. As for the space-group type: Pmm2, No. 25. The value obtained for the electronic total energy is -5.67 eV per atom. As for the formation energy: 19.5 kJ per mole of atoms.